## SmZrGe (PBE)

Data for crystalline SmZrGe at its relaxed geometry. Values from VASP.

```
&SYSTEM
  ibrav = 0, nat = 6, ntyp = 3
/
ATOMIC_SPECIES
Ge 72.64 Ge.upf
Sm 150.36 Sm.upf
Zr 91.22 Zr.upf
ATOMIC_POSITIONS crystal
Ge 0.1266 0.1266 0.2532
Ge 0.8734 0.8734 0.7468
Sm 0.3222 0.3222 0.6444
Sm 0.6778 0.6778 0.3556
Zr 0.0000 0.5000 0.0000
Zr 0.5000 0.0000 0.0000
CELL_PARAMETERS angstrom
-1.9449 -3.1573 -1.9643
0.7962 -2.5190 3.2604
-6.5038 5.0567 2.7944
```

Values from the calculation:
energy relative to the elements	-0.68	eV/atom
uncorrected energy	-6.639	eV/atom
total magnetic moment	0.61	μB per formula unit
V	24.00	A^3/atom